1.
The following is a DFT calculation (GGA-PBE) of a relaxed CoPbSe crystal.

The structure in POSCAR format:
```
CoPbSe
1.0
3.8245 0.0000 0.0000
-1.9122 3.3121 0.0000
0.0000 0.0000 5.3395
Se Pb Co
1 1 1
direct
0.3333 0.6667 0.8180
0.6667 0.3333 0.2692
0.0000 0.0000 0.9128
```

The formation energy without anion corrections comes out at -5.4 kJ/mol of atoms. The calculated total energy is -14.5 eV per cell. Its volume is 68 Å³ per cell. The calculation puts the offset from the most stable computed form at 12.5 meV/atom. The calculation puts the density of states at the Fermi level at 2.8 states/eV/cell.

---

2.
The following is a DFT calculation (GGA-PBE) of a relaxed CoPb2Se crystal.

The structure in POSCAR format:
```
CoPb2Se
1.0
-1.8031 0.3699 -6.0465
0.1472 -4.8532 -4.0464
-1.9339 1.5086 5.8252
Pb Co Se
2 1 1
direct
0.0000 0.0000 0.0000
0.2500 0.7500 0.5000
0.7500 0.2500 0.5000
0.5000 0.5000 0.0000
```

The formation energy without anion corrections comes out at 42.3 kJ/mol of atoms. The calculated total energy is -16.3 eV per cell. Its volume is 98 Å³ per cell. The calculation puts the density of states at the Fermi level at 5.5 states/eV/cell.

---

Please write out number 1 again, unchanged.
The following is a DFT calculation (GGA-PBE) of a relaxed CoPbSe crystal.

The structure in POSCAR format:
```
CoPbSe
1.0
3.8245 0.0000 0.0000
-1.9122 3.3121 0.0000
0.0000 0.0000 5.3395
Se Pb Co
1 1 1
direct
0.3333 0.6667 0.8180
0.6667 0.3333 0.2692
0.0000 0.0000 0.9128
```

The formation energy without anion corrections comes out at -5.4 kJ/mol of atoms. The calculated total energy is -14.5 eV per cell. Its volume is 68 Å³ per cell. The calculation puts the offset from the most stable computed form at 12.5 meV/atom. The calculation puts the density of states at the Fermi level at 2.8 states/eV/cell.